1.
Zn5Re24: single point on PBEsol structure, SCAN.

Unit cell a=8.2543 b=8.2543 c=8.2543 alpha=109.47 beta=109.47 gamma=109.47
With the nearest neighbours (Å) after each atom.
Sites, in units of the cell vectors:
1 Zn 0.0000 0.0000 0.0000  4 Zn 2.74, 12 Re 3.00
2 Zn 0.0000 0.0000 0.3323  1 Zn 2.74, 9 Re 2.80-2.81
3 Zn 0.0000 0.3323 0.0000  1 Zn 2.74, 9 Re 2.80-2.81
4 Zn 0.3323 0.0000 0.0000  1 Zn 2.74, 9 Re 2.80-2.81
5 Zn 0.6677 0.6677 0.6677  1 Zn 2.74, 9 Re 2.80-2.81
6 Re 0.0000 0.3161 0.5989  7 Re 2.52-2.81, 1 Zn 2.80
7 Re 0.0000 0.5989 0.3161  7 Re 2.52-2.81, 1 Zn 2.80
8 Re 0.0000 0.6206 0.8061  6 Re 2.50-2.67
9 Re 0.0000 0.8061 0.6206  6 Re 2.50-2.67
10 Re 0.1855 0.3794 0.3794  6 Re 2.50-2.67
11 Re 0.1939 0.1939 0.8145  6 Re 2.50-2.67
12 Re 0.1939 0.8145 0.1939  6 Re 2.50-2.67
13 Re 0.2828 0.6839 0.6839  7 Re 2.52-2.81, 1 Zn 2.80
14 Re 0.3161 0.0000 0.5989  7 Re 2.52-2.81, 1 Zn 2.80
15 Re 0.3161 0.5989 0.0000  7 Re 2.52-2.81, 1 Zn 2.80
16 Re 0.3794 0.1855 0.3794  6 Re 2.50-2.67
17 Re 0.3794 0.3794 0.1855  6 Re 2.50-2.67
18 Re 0.4011 0.4011 0.7172  7 Re 2.52-2.81, 1 Zn 2.80
19 Re 0.4011 0.7172 0.4011  7 Re 2.52-2.81, 1 Zn 2.80
20 Re 0.5989 0.0000 0.3161  7 Re 2.52-2.81, 1 Zn 2.80
21 Re 0.5989 0.3161 0.0000  7 Re 2.52-2.81, 1 Zn 2.80
22 Re 0.6206 0.0000 0.8061  6 Re 2.50-2.67
23 Re 0.6206 0.8061 0.0000  6 Re 2.50-2.67
24 Re 0.6839 0.2828 0.6839  7 Re 2.52-2.81, 1 Zn 2.80
25 Re 0.6839 0.6839 0.2828  7 Re 2.52-2.81, 1 Zn 2.80
26 Re 0.7172 0.4011 0.4011  7 Re 2.52-2.81, 1 Zn 2.80
27 Re 0.8061 0.0000 0.6206  6 Re 2.50-2.67
28 Re 0.8061 0.6206 0.0000  6 Re 2.50-2.67
29 Re 0.8145 0.1939 0.1939  6 Re 2.50-2.67

Summary:
SG   I-43m (217)
Volume   14.93 Å³ per atom
Mass density   18.40 g/cm³



2.
ZrZn2Re: single point on PBEsol structure, SCAN.

Unit cell a=4.8978 b=4.8978 c=4.8978 alpha=133.66 beta=132.29 gamma=68.70
With the nearest neighbours (Å) after each atom.
Sites, in units of the cell vectors:
1 Zr 0.0000 0.0000 0.0000  4 Re 2.76, 8 Zn 2.80-2.82
2 Zn 0.2510 0.7510 0.5000  4 Zn 2.76, 4 Re 2.79-2.84, 4 Zr 2.80-2.82
3 Zn 0.7490 0.2490 0.5000  4 Zn 2.76, 4 Re 2.79-2.84, 4 Zr 2.80-2.82
4 Re 0.5000 0.5000 0.0000  4 Zr 2.76, 8 Zn 2.79-2.84

Summary:
SG   Immm (71)
Volume   15.43 Å³ per atom
Mass density   10.98 g/cm³



3.
ZrZn2Re: single point on PBEsol structure, SCAN.

Unit cell a=2.7369 b=2.7369 c=8.7181 alpha=90.00 beta=90.00 gamma=105.39
With the nearest neighbours (Å) after each atom.
Sites, in units of the cell vectors:
1 Zr 0.0000 0.0000 0.0000  4 Zr 2.74, 2 Re 2.83, 2 Zn 2.88
2 Zn 0.0000 0.0000 0.5009  6 Zn 2.61-2.74, 2 Re 2.64
3 Zn 0.5000 0.5000 0.2698  6 Zn 2.61-2.74, 2 Zr 2.88
4 Re 0.5000 0.5000 0.7365  2 Zn 2.64, 4 Re 2.74, 2 Zr 2.83

Summary:
SG   Cmm2 (35)
Volume   15.74 Å³ per atom
Mass density   10.77 g/cm³



4.
Zr3ZnRe: single point on PBEsol structure, SCAN.

Unit cell a=4.7659 b=4.7659 c=4.7659 alpha=90.00 beta=90.00 gamma=90.00
With the nearest neighbours (Å) after each atom.
Sites, in units of the cell vectors:
1 Zr 0.0000 0.0000 0.5000  2 Zn 2.38
2 Zr 0.0000 0.5000 0.0000  2 Zn 2.38
3 Zr 0.5000 0.0000 0.0000  2 Zn 2.38
4 Zn 0.0000 0.0000 0.0000  6 Zr 2.38
5 Re 0.5000 0.5000 0.5000  12 Zr 3.37

Summary:
SG   Pm-3m (221)
Volume   21.65 Å³ per atom
Mass density   8.06 g/cm³



5.
ZrZn2Re: single point on PBEsol structure, SCAN.

Unit cell a=2.7608 b=2.7608 c=8.1992 alpha=90.00 beta=90.00 gamma=90.00
With the nearest neighbours (Å) after each atom.
Sites, in units of the cell vectors:
1 Zr 0.0000 0.0000 0.0000  4 Zr 2.76, 4 Zn 2.95, 4 Re 3.01
2 Zn 0.0000 0.0000 0.5114  8 Zn 2.65-2.76, 4 Re 2.72
3 Zn 0.5000 0.5000 0.7307  8 Zn 2.65-2.76, 4 Zr 2.95
4 Re 0.5000 0.5000 0.2800  4 Zn 2.72, 4 Re 2.76, 4 Zr 3.01

Summary:
SG   P4mm (99)
Volume   15.62 Å³ per atom
Mass density   10.85 g/cm³



6.
ZrZn2Re: single point on PBEsol structure, SCAN.

Unit cell a=2.7350 b=2.7350 c=8.3029 alpha=90.00 beta=90.00 gamma=90.00
With the nearest neighbours (Å) after each atom.
Sites, in units of the cell vectors:
1 Zr 0.0000 0.0000 0.0000  4 Zr 2.74, 8 Zn 2.94
2 Zn 0.5000 0.5000 0.2674  4 Re 2.73, 4 Zn 2.74, 4 Zr 2.94
3 Zn 0.5000 0.5000 0.7326  4 Re 2.73, 4 Zn 2.74, 4 Zr 2.94
4 Re 0.0000 0.0000 0.5000  8 Zn 2.73, 4 Re 2.74

Summary:
SG   P4/mmm (123)
Volume   15.53 Å³ per atom
Mass density   10.91 g/cm³



no.,E_tot (eV per atom)
1,-61.159
2,-32.391
3,-32.158
4,-34.290
5,-32.097
6,-32.093